# 1
Computed, not measured: a relaxed structure of YAsSe2S at the PBE level of DFT.

The calculation puts the energy above the most stable polymorph in this dataset at 0.00 kJ per mole of atoms. The value obtained for the theoretical density is 5.2 Mg/m³.

It has space group P4/mmm (No. 123), with a = 4.8462 Å, b = 4.8462 Å, c = 4.8471 Å, α = 90.00°, β = 90.00° and γ = 90.00°. The inequivalent atoms are Y at (0.0000, 0.0000, 0.0000), As at (0.5000, 0.5000, 0.0000), Se at (0.0000, 0.5000, 0.5000) and S at (0.5000, 0.5000, 0.5000).


# 2
Computed, not measured: a relaxed structure of Y6AsSe2S at the PBE level of DFT.

The uncorrected energy is -6.34 eV per atom. The value obtained for the theoretical density is 3.9 Mg/m³.

It has space group P4mm (No. 99), with a = 7.9025 Å, b = 7.9025 Å, c = 5.3856 Å, α = 90.00°, β = 90.00° and γ = 90.00°. The inequivalent atoms are Y at (0.0000, 0.0000, 0.0000), Y at (0.2456, 0.2456, 0.5015), Y at (0.5000, 0.5000, 0.9821), As at (0.5000, 0.5000, 0.4805), Se at (0.0000, 0.5000, 0.5430) and S at (0.0000, 0.0000, 0.4996).


# 3
Computed, not measured: a relaxed structure of Y8AsSe3S4 at the PBE level of DFT.

The uncorrected energy is -7.08 eV per atom. The value obtained for the theoretical density is 5.2 Mg/m³.

It has space group R-3m (No. 166, hexagonal axes), with a = 8.0030 Å, b = 8.0030 Å, c = 19.7653 Å, α = 90.00°, β = 90.00° and γ = 120.00°. The inequivalent atoms are Y at (0.0000, 0.0000, 0.2409), Y at (0.0093, 0.5046, 0.7563), As at (0.0000, 0.0000, 0.0000), Se at (0.0000, 0.5000, 0.0000), S at (0.0000, 0.0000, 0.5000) and S at (0.0000, 0.5000, 0.5000).


# 4
Computed, not measured: a relaxed structure of ZnAs2SeS at the PBE level of DFT.

The calculation puts the energy above the most stable polymorph in this dataset at 0.00 kJ per mole of atoms. The value obtained for the theoretical density is 4.8 Mg/m³.

It has space group P4/mmm (No. 123), with a = 4.8409 Å, b = 4.8409 Å, c = 4.8608 Å, α = 90.00°, β = 90.00° and γ = 90.00°. The inequivalent atoms are Zn at (0.0000, 0.0000, 0.0000), As at (0.0000, 0.5000, 0.5000), Se at (0.5000, 0.5000, 0.0000) and S at (0.5000, 0.5000, 0.5000).


# 5
Computed, not measured: a relaxed structure of ZnAs2SeS at the PBE level of DFT.

The calculation puts the energy above the most stable polymorph in this dataset at 14.61 kJ per mole of atoms. The value obtained for the theoretical density is 4.8 Mg/m³.

It has space group P4/mmm (No. 123), with a = 4.9091 Å, b = 4.9091 Å, c = 4.6957 Å, α = 90.00°, β = 90.00° and γ = 90.00°. The inequivalent atoms are Zn at (0.0000, 0.0000, 0.0000), As at (0.0000, 0.5000, 0.0000), Se at (0.0000, 0.0000, 0.5000) and S at (0.5000, 0.5000, 0.5000).


# 6
Computed, not measured: a relaxed structure of ZrAsSe2S at the PBE level of DFT.

The calculation puts the energy above the most stable polymorph in this dataset at 0.00 kJ per mole of atoms. The value obtained for the theoretical density is 4.2 Mg/m³.

It has space group P4/mmm (No. 123), with a = 5.1004 Å, b = 5.1004 Å, c = 5.4745 Å, α = 90.00°, β = 90.00° and γ = 90.00°. The inequivalent atoms are Zr at (0.0000, 0.0000, 0.0000), As at (0.0000, 0.0000, 0.5000), Se at (0.0000, 0.5000, 0.0000) and S at (0.5000, 0.5000, 0.5000).


# 7
Computed, not measured: a relaxed structure of ZrAsSe2S at the PBE level of DFT.

The calculation puts the energy above the most stable polymorph in this dataset at 0.87 kJ per mole of atoms. The value obtained for the theoretical density is 5.5 Mg/m³.

It has space group P4/mmm (No. 123), with a = 4.7015 Å, b = 4.7015 Å, c = 4.8647 Å, α = 90.00°, β = 90.00° and γ = 90.00°. The inequivalent atoms are Zr at (0.0000, 0.0000, 0.0000), As at (0.5000, 0.5000, 0.0000), Se at (0.0000, 0.5000, 0.5000) and S at (0.5000, 0.5000, 0.5000).


# 8
Computed, not measured: a relaxed structure of SiAs3S at the PBE level of DFT.

The calculation puts the energy above the most stable polymorph in this dataset at 0.00 kJ per mole of atoms. The value obtained for the theoretical density is 4.4 Mg/m³.

It has space group Pm-3m (No. 221), with a = 4.7513 Å, b = 4.7513 Å, c = 4.7513 Å, α = 90.00°, β = 90.00° and γ = 90.00°. The inequivalent atoms are Si at (0.0000, 0.0000, 0.0000), As at (0.0000, 0.0000, 0.5000) and S at (0.5000, 0.5000, 0.5000).


# 9
Computed, not measured: a relaxed structure of SiAsS at the PBE level of DFT.

The uncorrected energy is -5.05 eV per atom. The value obtained for the theoretical density is 2.8 Mg/m³.

It has space group P-1 (No. 2), with a = 4.4796 Å, b = 5.8989 Å, c = 6.7000 Å, α = 67.64°, β = 80.69° and γ = 89.97°. The inequivalent atoms are Si at (0.9999, 0.2392, 0.0004), As at (0.3882, 0.5737, 0.8283) and S at (0.1367, 0.9003, 0.2298).


# 10
Computed, not measured: a relaxed structure of SiAs2S at the PBE level of DFT.

The calculation puts the energy above the most stable polymorph in this dataset at 0.00 kJ per mole of atoms. The value obtained for the theoretical density is 3.9 Mg/m³.

It has space group I-42d (No. 122), with a = 6.4065 Å, b = 6.4065 Å, c = 8.8024 Å, α = 90.00°, β = 90.00° and γ = 90.00°. The inequivalent atoms are Si at (0.0000, 0.0000, 0.0000), As at (0.2269, 0.2500, 0.1250) and S at (0.0000, 0.0000, 0.5000).


# 11
Computed, not measured: a relaxed structure of SiAs2S6 at the PBE level of DFT.

The uncorrected energy is -4.29 eV per atom. The value obtained for the theoretical density is 3.4 Mg/m³.

It has space group P4_2/mnm (No. 136), with a = 5.7754 Å, b = 5.7754 Å, c = 10.8711 Å, α = 90.00°, β = 90.00° and γ = 90.00°. The inequivalent atoms are Si at (0.0000, 0.0000, 0.0000), As at (0.0000, 0.0000, 0.3321), S at (0.1871, 0.1871, 0.1558) and S at (0.2104, 0.2104, 0.5000).


# 12
Computed, not measured: a relaxed structure of SiAsS2 at the PBE level of DFT.

The calculation puts the energy above the most stable polymorph in this dataset at 49.76 kJ per mole of atoms. The value obtained for the theoretical density is 4.1 Mg/m³.

It has space group Fm-3m (No. 225), with a = 6.4440 Å, b = 6.4440 Å, c = 6.4440 Å, α = 90.00°, β = 90.00° and γ = 90.00°. The inequivalent atoms are Si at (0.0000, 0.0000, 0.0000), As at (0.0000, 0.0000, 0.5000) and S at (0.2500, 0.2500, 0.2500).